A plane-wave DFT calculation with GGA-PBE was carried out for crystalline PmSmSc2S4 at its relaxed geometry.

As for the formation energy from raw total energies: -1931 meV/atom. For the raw total energy, the calculation gives -0.24848 Ha/atom.

The space group is P2/m (No. 10) and the conventional cell measures 6.626, 3.804 and 6.806 Å, with angles of 90.00, 108.82 and 90.00 degrees. Symmetry generates all atoms from Pm at (0.000, 0.000, 0.000), Sm at (0.500, 0.500, 0.000), Sc at (0.000, 0.500, 0.500), Sc at (0.500, 0.000, 0.500), S at (0.242, 0.000, 0.723) and S at (0.260, 0.500, 0.278).